(1)
Compound: BaSnSN2
Source: Alexandria via LeMat-Bulk
Functional: PBE-GGA
Structure: relaxed

As for the total energy: -19.94 eV per cell. As for the relative energy among the computed polymorphs: 1190 meV per atom. As for the uncorrected formation energy: 6.76 eV/f.u.

The space group is P4/mmm (No. 123) and the conventional cell measures 4.597, 4.597 and 6.273 Å, with angles of 90.00, 90.00 and 90.00 degrees. Symmetry generates all atoms from Ba at (0.000, 0.000, 0.000), Sn at (0.500, 0.500, 0.500), S at (0.000, 0.000, 0.500) and N at (0.000, 0.500, 0.000).


(2)
Compound: PrErGaGe
Source: Alexandria via LeMat-Bulk
Functional: PBE-GGA
Structure: relaxed

As for the total energy: -39.95 eV per cell. The formation energy is -72.1 kJ per mole of atoms. As for the relative energy among the computed polymorphs: 0 meV per atom.

The space group is Amm2 (No. 38) and the conventional cell measures 4.057, 4.397 and 11.047 Å, with angles of 90.00, 90.00 and 90.00 degrees. Symmetry generates all atoms from Pr at (0.000, 0.000, 0.000), Er at (0.500, 0.000, 0.279), Ga at (0.500, 0.000, 0.568) and Ge at (0.000, 0.000, 0.721).


(3)
Compound: U2InTe4
Source: Alexandria via LeMat-Bulk
Functional: PBE-GGA
Structure: relaxed

As for the total energy: -41.21 eV per cell. As for the relative energy among the computed polymorphs: 0 meV per atom. As for the uncorrected formation energy: -3.33 eV/f.u.

The space group is P2/m (No. 10) and the conventional cell measures 7.627, 4.393 and 8.254 Å, with angles of 90.00, 90.97 and 90.00 degrees. Symmetry generates all atoms from U at (0.000, 0.000, 0.000), U at (0.500, 0.500, 0.000), In at (0.000, 0.000, 0.500), Te at (0.173, 0.500, 0.219) and Te at (0.333, 0.000, 0.786).


(4)
Compound: LaCoSb2Te
Source: Alexandria via LeMat-Bulk
Functional: PBE-GGA
Structure: relaxed

As for the total energy: -25.10 eV per cell. As for the uncorrected formation energy: -1.68 eV/f.u.

The space group is P4/mmm (No. 123) and the conventional cell measures 4.878, 4.878 and 5.569 Å, with angles of 90.00, 90.00 and 90.00 degrees. Symmetry generates all atoms from La at (0.000, 0.000, 0.000), Co at (0.500, 0.500, 0.500), Sb at (0.000, 0.500, 0.500) and Te at (0.500, 0.500, 0.000).


(5)
Compound: Pm2Cu2Pd
Source: Alexandria via LeMat-Bulk
Functional: PBE-GGA
Structure: relaxed

As for the total energy: -98.74 eV per cell. The formation energy is -34.7 kJ per mole of atoms. As for the relative energy among the computed polymorphs: 59 meV per atom.

The space group is P4/mnc (No. 128) and the conventional cell measures 7.283, 7.283 and 7.938 Å, with angles of 90.00, 90.00 and 90.00 degrees. Symmetry generates all atoms from Pm at (0.180, 0.320, 0.000), Cu at (0.120, 0.620, 0.250) and Pd at (0.000, 0.000, 0.249).


(6)
Compound: Pa3V5H12
Source: Alexandria via LeMat-Bulk
Functional: PBE-GGA
Structure: relaxed

As for the total energy: -938.13 eV per cell.

The space group is Ia-3d (No. 230) and the conventional cell measures 11.515, 11.515 and 11.515 Å, with angles of 90.00, 90.00 and 90.00 degrees. Symmetry generates all atoms from Pa at (0.000, 0.250, 0.125), V at (0.000, 0.000, 0.000), V at (0.000, 0.250, 0.375) and H at (0.028, 0.059, 0.642).